PBE-GGA LiCu2Si, optimized geometry; total energy = -3.7561 eV per atom; V = 11.947 Å³ per atom
1.0
5.7606 0.0000 0.0000
0.0000 5.7606 0.0000
0.0000 0.0000 5.7606
Cu Li Si
8 4 4
Direct
0.2483 0.2483 0.2483 Cu
0.7517 0.2483 0.2483 Cu
0.2483 0.7517 0.2483 Cu
0.7517 0.7517 0.2483 Cu
0.2483 0.2483 0.7517 Cu
0.7517 0.2483 0.7517 Cu
0.2483 0.7517 0.7517 Cu
0.7517 0.7517 0.7517 Cu
0.5000 0.5000 0.0000 Li
0.5000 0.0000 0.5000 Li
0.0000 0.5000 0.5000 Li
0.5000 0.5000 0.5000 Li
0.0000 0.0000 0.0000 Si
0.5000 0.0000 0.0000 Si
0.0000 0.5000 0.0000 Si
0.0000 0.0000 0.5000 Si